Mg2Tl2Sb: relaxed, PBE-GGA.

Calculated values
Crystal system   tetragonal
Total DFT energy (no corrections)   -2.4628 eV per atom
Energy relative to the lowest polymorph listed for this composition   0.0 kJ per mole of atoms
Total moment   0.000 μB per formula unit

Cell: 7.5585 7.5585 4.8336 Å, 90.00 90.00 90.00°
Closest atoms and distances in Å follow each position.
Positions (direct):
Mg: 0.1417 0.3583 0.0000  2 Sb 2.91, 1 Mg 3.03, 2 Tl 3.19
Mg: 0.3583 0.8583 0.0000  2 Sb 2.91, 1 Mg 3.03, 2 Tl 3.19
Mg: 0.6417 0.1417 0.0000  2 Sb 2.91, 1 Mg 3.03, 2 Tl 3.19
Mg: 0.8583 0.6417 0.0000  2 Sb 2.91, 1 Mg 3.03, 2 Tl 3.19
Tl: 0.1638 0.6638 0.5000  6 Mg 3.19-3.35, 1 Tl 3.50
Tl: 0.3362 0.1638 0.5000  6 Mg 3.19-3.35, 1 Tl 3.50
Tl: 0.6638 0.8362 0.5000  6 Mg 3.19-3.35, 1 Tl 3.50
Tl: 0.8362 0.3362 0.5000  6 Mg 3.19-3.35, 1 Tl 3.50
Sb: 0.0000 0.0000 0.0000  4 Mg 2.91
Sb: 0.5000 0.5000 0.0000  4 Mg 2.91